DFT (GGA-PBE) results for crystalline Pm4SiGe2 at its relaxed geometry.

density of states at the Fermi level: 0.526 states/eV per atom
energy above the lowest structure with this stoichiometry: 256 meV/atom
formation energy without anion corrections: -2.20 eV/f.u.

a = 5.281 Å, b = 5.281 Å, c = 15.745 Å
α = 90.00°, β = 90.00°, γ = 90.00°
Space group I4/mmm (No. 139)
Asymmetric unit:
Pm 0.000 0.000 0.183
Pm 0.000 0.500 0.000
Si 0.000 0.000 0.000
Ge 0.000 0.000 0.372